A relaxed Er3Tm12Cd crystal. Source: Alexandria, functional PBE.

abc: 4.890 4.890 19.731
angles: 90.00 90.00 90.00
Element x y z (fractional)
Er 0.000 0.000 0.000
Er 0.000 0.000 0.252
Er 0.000 0.000 0.748
Tm 0.000 0.500 0.127
Tm 0.000 0.500 0.378
Tm 0.000 0.500 0.622
Tm 0.000 0.500 0.873
Tm 0.500 0.000 0.127
Tm 0.500 0.000 0.378
Tm 0.500 0.000 0.622
Tm 0.500 0.000 0.873
Tm 0.500 0.500 0.000
Tm 0.500 0.500 0.255
Tm 0.500 0.500 0.500
Tm 0.500 0.500 0.745
Cd 0.000 0.000 0.500

Values from the calculation:
* formation energy from the elements: 0.00 eV per atom
* mass density: 9.3 g/cm3
* total DFT energy (no corrections): -4.2670 eV/atom

A relaxed FeMoAs crystal. Source: Alexandria, functional PBE.

abc: 3.986 3.986 3.986
angles: 60.00 60.00 60.00
Element x y z (fractional)
Fe 0.000 0.000 0.000
Mo 0.250 0.250 0.250
As 0.750 0.750 0.750

Values from the calculation:
* formation energy from the elements: -0.09 eV per atom
* mass density: 8.4 g/cm3
* total DFT energy (no corrections): -8.0737 eV/atom

A relaxed ScAsSe2N crystal. Source: Alexandria, functional PBE.

abc: 5.233 5.233 4.040
angles: 90.00 90.00 90.00
Element x y z (fractional)
Sc 0.000 0.000 0.000
As 0.500 0.500 0.500
Se 0.000 0.500 0.000
Se 0.500 0.000 0.000
N 0.000 0.000 0.500

Values from the calculation:
* mass density: 4.4 g/cm3
* formation energy from raw total energies: 0.264 eV per atom
* total DFT energy (no corrections): -4.9911 eV/atom

A relaxed CdCu2As crystal. Source: Alexandria, functional PBE.

abc: 4.317 4.317 5.795
angles: 103.01 103.01 40.10
Element x y z (fractional)
Cd 0.000 0.000 0.000
Cu 0.250 0.250 0.702
Cu 0.750 0.750 0.298
As 0.500 0.500 0.500

Values from the calculation:
* formation energy from the elements: 0.15 eV per atom
* mass density: 7.7 g/cm3
* total DFT energy (no corrections): -3.2886 eV/atom

A relaxed CeDy3B4O12 crystal. Source: Alexandria, functional PBE.

abc: 6.546 6.546 6.546
angles: 102.33 102.33 102.33
Element x y z (fractional)
Ce 0.000 0.000 0.000
Dy 0.000 0.536 0.464
Dy 0.464 0.000 0.536
Dy 0.536 0.464 0.000
B 0.037 0.500 0.963
B 0.500 0.500 0.500
B 0.500 0.963 0.037
B 0.963 0.037 0.500
O 0.027 0.633 0.824
O 0.099 0.901 0.500
O 0.176 0.367 0.973
O 0.364 0.636 0.500
O 0.367 0.973 0.176
O 0.500 0.099 0.901
O 0.500 0.364 0.636
O 0.633 0.824 0.027
O 0.636 0.500 0.364
O 0.824 0.027 0.633
O 0.901 0.500 0.099
O 0.973 0.176 0.367

Values from the calculation:
* mass density: 5.6 g/cm3
* formation energy from raw total energies: -3.057 eV per atom
* total DFT energy (no corrections): -8.3542 eV/atom

A relaxed Pm2ErTmSc4 crystal. Source: Alexandria, functional PBE.

abc: 5.942 3.431 11.181
angles: 90.00 100.06 90.00
Element x y z (fractional)
Pm 0.000 0.000 0.000
Pm 0.000 0.500 0.500
Er 0.500 0.000 0.500
Tm 0.500 0.500 0.000
Sc 0.251 0.500 0.250
Sc 0.252 0.000 0.750
Sc 0.748 0.000 0.250
Sc 0.749 0.500 0.750

Values from the calculation:
* formation energy from the elements: 0.06 eV per atom
* mass density: 6.0 g/cm3
* total DFT energy (no corrections): -5.4209 eV/atom

A relaxed PrScPd2 crystal. Source: Alexandria, functional PBE.

abc: 3.387 3.387 7.305
angles: 90.00 90.00 90.00
Element x y z (fractional)
Pr 0.000 0.000 0.000
Sc 0.000 0.000 0.500
Pd 0.500 0.500 0.291
Pd 0.500 0.500 0.709

Values from the calculation:
* formation energy from the elements: -0.78 eV per atom
* mass density: 7.9 g/cm3
* total DFT energy (no corrections): -6.1577 eV/atom

A relaxed VCr2I6 crystal. Source: Alexandria, functional PBE.

abc: 9.897 9.897 8.614
angles: 107.06 107.06 23.68
Element x y z (fractional)
V 0.000 0.000 0.000
Cr 0.334 0.334 0.659
Cr 0.666 0.666 0.341
I 0.153 0.153 0.103
I 0.172 0.172 0.572
I 0.497 0.497 0.771
I 0.503 0.503 0.229
I 0.828 0.828 0.428
I 0.847 0.847 0.897

Values from the calculation:
* mass density: 4.7 g/cm3
* formation energy from raw total energies: -0.335 eV per atom
* total DFT energy (no corrections): -4.5202 eV/atom

A relaxed CoAg2Br crystal. Source: Alexandria, functional PBE.

abc: 6.703 6.703 6.703
angles: 153.58 142.22 46.70
Element x y z (fractional)
Co 0.000 0.000 0.000
Ag 0.450 0.450 0.000
Ag 0.811 0.311 0.500
Br 0.155 0.655 0.500

Values from the calculation:
* mass density: 7.2 g/cm3
* formation energy from raw total energies: 0.341 eV per atom
* total DFT energy (no corrections): -3.2794 eV/atom

A relaxed La2SiAs crystal. Source: Alexandria, functional PBE.

abc: 6.004 6.004 4.483
angles: 96.40 96.40 41.89
Element x y z (fractional)
La 0.000 0.000 0.000
La 0.736 0.736 0.536
Si 0.275 0.275 0.061
As 0.457 0.457 0.470

Values from the calculation:
* mass density: 5.9 g/cm3
* formation energy from raw total energies: -0.966 eV per atom
* total DFT energy (no corrections): -5.9482 eV/atom

A relaxed Tc2AgTe crystal. Source: Alexandria, functional PBE.

abc: 2.995 3.649 6.957
angles: 90.00 90.74 90.00
Element x y z (fractional)
Tc 0.000 0.000 0.000
Tc 0.483 0.500 0.836
Ag 0.977 0.000 0.585
Te 0.502 0.500 0.240

Values from the calculation:
* mass density: 9.4 g/cm3
* formation energy from raw total energies: 0.427 eV per atom
* total DFT energy (no corrections): -6.2539 eV/atom

A relaxed Ac2TaN5 crystal. Source: Alexandria, functional PBE.

abc: 5.703 5.703 4.021
angles: 90.00 90.00 90.00
Element x y z (fractional)
Ac 0.000 0.500 0.000
Ac 0.500 0.000 0.000
Ta 0.000 0.000 0.500
N 0.000 0.000 0.000
N 0.255 0.255 0.500
N 0.255 0.745 0.500
N 0.745 0.255 0.500
N 0.745 0.745 0.500

Values from the calculation:
* mass density: 8.9 g/cm3
* formation energy from raw total energies: -0.344 eV per atom
* total DFT energy (no corrections): -8.0561 eV/atom

Copy entry 1 word for word.
A relaxed Er3Tm12Cd crystal. Source: Alexandria, functional PBE.

abc: 4.890 4.890 19.731
angles: 90.00 90.00 90.00
Element x y z (fractional)
Er 0.000 0.000 0.000
Er 0.000 0.000 0.252
Er 0.000 0.000 0.748
Tm 0.000 0.500 0.127
Tm 0.000 0.500 0.378
Tm 0.000 0.500 0.622
Tm 0.000 0.500 0.873
Tm 0.500 0.000 0.127
Tm 0.500 0.000 0.378
Tm 0.500 0.000 0.622
Tm 0.500 0.000 0.873
Tm 0.500 0.500 0.000
Tm 0.500 0.500 0.255
Tm 0.500 0.500 0.500
Tm 0.500 0.500 0.745
Cd 0.000 0.000 0.500

Values from the calculation:
* formation energy from the elements: 0.00 eV per atom
* mass density: 9.3 g/cm3
* total DFT energy (no corrections): -4.2670 eV/atom

Question: Which of these has the highest total DFT energy (no corrections)?
Answer: CoAg2Br

Question: Among the records above, which one has the lowest total DFT energy (no corrections)?
Answer: CeDy3B4O12

Question: The highest mass density belongs to which entry?
Answer: Tc2AgTe